No. 1
A plane-wave DFT calculation with PBE was carried out for a geometry-optimized KCl structure.

The space group is P6_3/mmc (No. 194) and the conventional cell measures 5.4942, 5.4942 and 9.3633 Å, with angles of 90.00, 90.00 and 120.00 degrees. The asymmetric unit holds K at (0.0000, 0.0000, 0.2500), K at (0.3333, 0.6667, 0.2500) and Cl at (0.3333, 0.6667, 0.5809).

As for the crystal system: hexagonal. As for the total energy: -2.906 eV per atom. The size of the total moment comes out at 0.00 Bohr magnetons per cell.


No. 2
A plane-wave DFT calculation with PBE was carried out for a geometry-optimized Li7Ca2Cd structure.

The space group is P-4m2 (No. 115) and the conventional cell measures 4.7869, 4.7869 and 10.6837 Å, with angles of 90.00, 90.00 and 90.00 degrees. The asymmetric unit holds Li at (0.0000, 0.0000, 0.0000), Li at (0.0000, 0.0000, 0.5000), Li at (0.0000, 0.5000, 0.1340), Li at (0.0000, 0.5000, 0.3804), Li at (0.5000, 0.5000, 0.0000), Ca at (0.0000, 0.5000, 0.7382) and Cd at (0.5000, 0.5000, 0.5000).

As for the crystal system: tetragonal. The calculation puts the formation energy at -0.009 eV per atom. The size of the total moment comes out at 0.00 Bohr magnetons per cell.


No. 3
A plane-wave DFT calculation with PBE was carried out for a geometry-optimized Na3TlBi2 structure.

The space group is P4/mmm (No. 123) and the conventional cell measures 3.4556, 3.4556 and 14.6243 Å, with angles of 90.00, 90.00 and 90.00 degrees. The asymmetric unit holds Na at (0.0000, 0.0000, 0.0000), Na at (0.0000, 0.0000, 0.3281), Tl at (0.5000, 0.5000, 0.5000) and Bi at (0.5000, 0.5000, 0.1667).

As for the crystal system: tetragonal. The calculation puts the formation energy at -0.233 eV per atom. The size of the total moment comes out at 0.00 Bohr magnetons per cell.


No. 4
A plane-wave DFT calculation with PBE was carried out for a geometry-optimized AlInTe2 structure.

The space group is F-43m (No. 216) and the conventional cell measures 7.5567, 7.5567 and 7.5567 Å, with angles of 90.00, 90.00 and 90.00 degrees. The asymmetric unit holds Al at (0.0000, 0.0000, 0.0000), In at (0.2500, 0.2500, 0.2500), Te at (0.0000, 0.0000, 0.5000) and Te at (0.2500, 0.2500, 0.7500).

As for the crystal system: cubic. As for the total energy: -2.946 eV per atom. The size of the total moment comes out at 0.00 Bohr magnetons per cell.


No. 5
A plane-wave DFT calculation with PBE was carried out for a geometry-optimized BaPuIO2 structure.

The space group is Cmcm (No. 63) and the conventional cell measures 6.1569, 14.3811 and 5.9813 Å, with angles of 90.00, 90.00 and 90.00 degrees. The asymmetric unit holds Ba at (0.0000, 0.0975, 0.2500), Pu at (0.0000, 0.4361, 0.2500), I at (0.0000, 0.2473, 0.7500) and O at (0.2231, 0.5000, 0.0000).

As for the crystal system: orthorhombic. As for the total energy: -8.058 eV per atom. The size of the total moment comes out at 20.00 Bohr magnetons per cell.


No. 6
A plane-wave DFT calculation with PBE was carried out for a geometry-optimized YCr2Br structure.

The space group is I-42d (No. 122) and the conventional cell measures 8.1292, 8.1292 and 5.8309 Å, with angles of 90.00, 90.00 and 90.00 degrees. The asymmetric unit holds Y at (0.0000, 0.0000, 0.0000), Cr at (0.2122, 0.7500, 0.6250) and Br at (0.0000, 0.0000, 0.5000).

As for the crystal system: tetragonal. As for the total energy: -6.301 eV per atom. The size of the total moment comes out at 36.54 Bohr magnetons per cell.


No. 7
A plane-wave DFT calculation with PBE was carried out for a geometry-optimized Tb5Co2Sn structure.

The space group is I4/mcm (No. 140) and the conventional cell measures 7.6506, 7.6506 and 13.4313 Å, with angles of 90.00, 90.00 and 90.00 degrees. The asymmetric unit holds Tb at (0.0000, 0.0000, 0.0000), Tb at (0.1602, 0.3398, 0.1325), Co at (0.1347, 0.3653, 0.5000) and Sn at (0.0000, 0.0000, 0.2500).

As for the crystal system: tetragonal. The calculation puts the formation energy at -0.335 eV per atom. The size of the total moment comes out at 0.00 Bohr magnetons per cell.


No. 8
A plane-wave DFT calculation with PBE was carried out for a geometry-optimized KSr2US5 structure.

The space group is Immm (No. 71) and the conventional cell measures 5.1165, 7.4336 and 14.2248 Å, with angles of 90.00, 90.00 and 90.00 degrees. The asymmetric unit holds K at (0.0000, 0.0000, 0.0000), Sr at (0.0000, 0.5000, 0.2109), U at (0.0000, 0.0000, 0.5000), S at (0.0000, 0.2349, 0.3640) and S at (0.0000, 0.5000, 0.0000).

As for the crystal system: orthorhombic. As for the total energy: -5.702 eV per atom. The size of the total moment comes out at 2.00 Bohr magnetons per cell.


No. 9
A plane-wave DFT calculation with PBE was carried out for a geometry-optimized CdAgTe structure.

The space group is P2_1/c (No. 14) and the conventional cell measures 8.3793, 6.9114 and 6.2305 Å, with angles of 90.00, 110.84 and 90.00 degrees. The asymmetric unit holds Cd at (0.0916, 0.0092, 0.2265), Ag at (0.4467, 0.7040, 0.9505) and Te at (0.2873, 0.0367, 0.6987).

As for the crystal system: monoclinic. As for the total energy: -2.377 eV per atom. The size of the total moment comes out at 0.00 Bohr magnetons per cell.


No. 10
A plane-wave DFT calculation with PBE was carried out for a geometry-optimized BaYPt10 structure.

The space group is Pmmm (No. 47) and the conventional cell measures 4.4193, 5.4946 and 9.4812 Å, with angles of 90.00, 90.00 and 90.00 degrees. The asymmetric unit holds Ba at (0.0000, 0.0000, 0.0000), Y at (0.0000, 0.5000, 0.5000), Pt at (0.0000, 0.0000, 0.3416), Pt at (0.0000, 0.5000, 0.1791), Pt at (0.5000, 0.0000, 0.5000), Pt at (0.5000, 0.2540, 0.2584) and Pt at (0.5000, 0.5000, 0.0000).

As for the crystal system: orthorhombic. The calculation puts the formation energy at -0.591 eV per atom. The size of the total moment comes out at 0.00 Bohr magnetons per cell.


No. 11
A plane-wave DFT calculation with PBE was carried out for a geometry-optimized Cs2Rb5TlAu2 structure.

The space group is P4/mbm (No. 127) and the conventional cell measures 14.7463, 14.7463 and 5.0883 Å, with angles of 90.00, 90.00 and 90.00 degrees. The asymmetric unit holds Cs at (0.1780, 0.3220, 0.0000), Rb at (0.0000, 0.5000, 0.5000), Rb at (0.0655, 0.7930, 0.5000), Tl at (0.0000, 0.0000, 0.0000) and Au at (0.1220, 0.6220, 0.0000).

As for the crystal system: tetragonal. The calculation puts the formation energy at -0.104 eV per atom. The size of the total moment comes out at 0.00 Bohr magnetons per cell.


No. 12
A plane-wave DFT calculation with PBE was carried out for a geometry-optimized Ta2AlGeRh structure.

The space group is P4/mmm (No. 123) and the conventional cell measures 4.8471, 4.8471 and 4.5216 Å, with angles of 90.00, 90.00 and 90.00 degrees. The asymmetric unit holds Ta at (0.0000, 0.5000, 0.0000), Al at (0.0000, 0.0000, 0.5000), Ge at (0.5000, 0.5000, 0.5000) and Rh at (0.0000, 0.0000, 0.0000).

As for the crystal system: tetragonal. The calculation puts the formation energy at 0.708 eV per atom. The size of the total moment comes out at 0.00 Bohr magnetons per cell.